Here is FeSb2O6 after structural relaxation from the Alexandria database. Energies are from PBE with a Hubbard U.

Computed properties:
- Polymorph energy (0 for the lowest one): 0 meV per atom
- Crystal system: tetragonal
- Theoretical density: 6132 kg/m³
- Volume: 11.9 Å³ per atom

```
data_FeSb2O6
_space_group_name_H-M_alt 'P 1'
_space_group_IT_number 1
_space_group_name_Hall 'P 1'
_cell_length_a 4.751
_cell_length_b 4.751
_cell_length_c 9.488
_cell_angle_alpha 90.00
_cell_angle_beta 90.00
_cell_angle_gamma 90.00
loop_
_atom_site_label
_atom_site_type_symbol
_atom_site_fract_x
_atom_site_fract_y
_atom_site_fract_z
_atom_site_occupancy
O1 O 0.801 0.199 0.173 1
O2 O 0.188 0.812 0.500 1
O3 O 0.812 0.188 0.500 1
O4 O 0.199 0.801 0.173 1
O5 O 0.312 0.312 0.000 1
O6 O 0.699 0.699 0.327 1
O7 O 0.688 0.688 0.000 1
O8 O 0.801 0.199 0.827 1
O9 O 0.301 0.301 0.673 1
O10 O 0.199 0.801 0.827 1
O11 O 0.301 0.301 0.327 1
O12 O 0.699 0.699 0.673 1
Fe1 Fe 0.000 0.000 0.000 1
Fe2 Fe 0.500 0.500 0.500 1
Sb1 Sb 0.000 0.000 0.332 1
Sb2 Sb 0.000 0.000 0.668 1
Sb3 Sb 0.500 0.500 0.168 1
Sb4 Sb 0.500 0.500 0.832 1
```